1.
The following is a PBE-GGA calculation of a relaxed PrHoTeP crystal, from Alexandria via LeMat-Bulk.

a = 4.153 Å, b = 4.153 Å, c = 7.749 Å
α = 90.00°, β = 105.54°, γ = 120.00°
Fractional coordinates of all 4 atoms:
Ho 0.109 0.952 0.077
Te 0.959 0.378 0.352
Pr 0.495 0.145 0.655
P 0.315 0.555 0.885

Space-group type: No. 160
E_form (uncorrected) in eV per atom: -1.53
M_tot in μB per formula unit: 0.0
E_tot in eV/cell: -24.042

=====

2.
The following is a PBE-GGA calculation of a relaxed GdSiNi crystal, from Alexandria via LeMat-Bulk.

a = 3.860 Å, b = 4.069 Å, c = 4.069 Å
α = 120.00°, β = 90.00°, γ = 90.00°
Fractional coordinates of all 3 atoms:
Si 0.167 0.333 0.667
Ni 0.167 0.000 0.000
Gd 0.667 0.667 0.333

Space-group type: No. 187
E_form (uncorrected) in eV per atom: -0.76
M_tot in μB per formula unit: 7.2
E_tot in eV/cell: -27.554